[1]
# MoRhSe2 (SCAN, PBEsol geometry)
# E_form (uncorrected), kJ per mole of atoms: -5
data_MoRhSe2
_chemical_formula_sum 'Mo1 Rh1 Se2'
_symmetry_space_group_name_H-M 'P 1'
_symmetry_Int_Tables_number 1
_cell_length_a 3.114
_cell_length_b 3.114
_cell_length_c 8.381
_cell_angle_alpha 79.30
_cell_angle_beta 79.30
_cell_angle_gamma 60.00
loop_
_symmetry_equiv_pos_as_xyz
'x,y,z'
loop_
_atom_site_label
_atom_site_type_symbol
_atom_site_fract_x
_atom_site_fract_y
_atom_site_fract_z
Se1 Se 0.095 0.095 0.715
Se2 Se 0.905 0.905 0.285
Mo1 Mo 0.500 0.500 0.500
Rh1 Rh 0.000 0.000 0.000

[2]
# K3AlP2 (SCAN, PBEsol geometry)
# ΔE_f, meV/atom: -628
data_K3AlP2
_chemical_formula_sum 'K24 Al8 P16'
_symmetry_space_group_name_H-M 'P 1'
_symmetry_Int_Tables_number 1
_cell_length_a 8.797
_cell_length_b 11.770
_cell_length_c 15.020
_cell_angle_alpha 72.73
_cell_angle_beta 73.20
_cell_angle_gamma 72.08
loop_
_symmetry_equiv_pos_as_xyz
'x,y,z'
loop_
_atom_site_label
_atom_site_type_symbol
_atom_site_fract_x
_atom_site_fract_y
_atom_site_fract_z
K1 K 0.171 0.379 0.022
K2 K 0.319 0.086 0.024
K3 K 0.514 0.425 0.158
K4 K 0.032 0.098 0.851
K5 K 0.776 0.253 0.380
K6 K 0.492 0.623 0.416
K7 K 0.184 0.601 0.307
K8 K 0.224 0.747 0.620
K9 K 0.190 0.235 0.319
K10 K 0.508 0.377 0.584
K11 K 0.533 0.085 0.745
K12 K 0.345 0.917 0.694
K13 K 0.810 0.765 0.681
K14 K 0.681 0.914 0.976
K15 K 0.829 0.621 0.978
K16 K 0.844 0.576 0.243
K17 K 0.982 0.107 0.586
K18 K 0.968 0.902 0.149
K19 K 0.655 0.083 0.306
K20 K 0.018 0.893 0.414
K21 K 0.486 0.575 0.842
K22 K 0.816 0.399 0.693
K23 K 0.467 0.915 0.255
K24 K 0.156 0.424 0.757
Al1 Al 0.849 0.220 0.074
Al2 Al 0.594 0.858 0.491
Al3 Al 0.636 0.267 0.945
Al4 Al 0.154 0.388 0.510
Al5 Al 0.364 0.733 0.055
Al6 Al 0.846 0.612 0.490
Al7 Al 0.151 0.780 0.926
Al8 Al 0.406 0.142 0.509
P1 P 0.839 0.369 0.930
P2 P 0.096 0.590 0.540
P3 P 0.593 0.663 0.606
P4 P 0.407 0.337 0.394
P5 P 0.639 0.124 0.090
P6 P 0.904 0.410 0.460
P7 P 0.329 0.985 0.462
P8 P 0.161 0.631 0.070
P9 P 0.005 0.170 0.182
P10 P 0.217 0.219 0.643
P11 P 0.361 0.876 0.910
P12 P 0.783 0.781 0.357
P13 P 0.671 0.015 0.538
P14 P 0.477 0.299 0.843
P15 P 0.995 0.830 0.818
P16 P 0.523 0.701 0.157

[3]
# MoIrCl2 (SCAN, PBEsol geometry)
# Energy above the lowest structure with this stoichiometry, meV per atom: 1136
# E_form (uncorrected), kJ per mole of atoms: 81
data_MoIrCl2
_chemical_formula_sum 'Mo1 Ir1 Cl2'
_symmetry_space_group_name_H-M 'P 1'
_symmetry_Int_Tables_number 1
_cell_length_a 2.914
_cell_length_b 2.914
_cell_length_c 8.869
_cell_angle_alpha 80.54
_cell_angle_beta 80.54
_cell_angle_gamma 60.00
loop_
_symmetry_equiv_pos_as_xyz
'x,y,z'
loop_
_atom_site_label
_atom_site_type_symbol
_atom_site_fract_x
_atom_site_fract_y
_atom_site_fract_z
Ir1 Ir 0.500 0.500 0.500
Mo1 Mo 0.000 0.000 0.000
Cl1 Cl 0.914 0.914 0.258
Cl2 Cl 0.086 0.086 0.742

[4]
# MgCdNi2 (SCAN, PBEsol geometry)
# ΔE_f, meV/atom: 18
data_MgCdNi2
_chemical_formula_sum 'Mg1 Cd1 Ni2'
_symmetry_space_group_name_H-M 'P 1'
_symmetry_Int_Tables_number 1
_cell_length_a 2.967
_cell_length_b 4.305
_cell_length_c 5.136
_cell_angle_alpha 114.78
_cell_angle_beta 106.79
_cell_angle_gamma 90.00
loop_
_symmetry_equiv_pos_as_xyz
'x,y,z'
loop_
_atom_site_label
_atom_site_type_symbol
_atom_site_fract_x
_atom_site_fract_y
_atom_site_fract_z
Mg1 Mg 0.264 0.764 0.528
Ni1 Ni 0.017 0.017 0.035
Ni2 Ni 0.733 0.233 0.465
Cd1 Cd 0.486 0.486 0.972

[5]
# RbY3Ag (SCAN, PBEsol geometry)
# ΔE_f, meV/atom: 1417
data_RbY3Ag
_chemical_formula_sum 'Rb1 Y3 Ag1'
_symmetry_space_group_name_H-M 'P 1'
_symmetry_Int_Tables_number 1
_cell_length_a 5.288
_cell_length_b 5.288
_cell_length_c 5.288
_cell_angle_alpha 90.00
_cell_angle_beta 90.00
_cell_angle_gamma 90.00
loop_
_symmetry_equiv_pos_as_xyz
'x,y,z'
loop_
_atom_site_label
_atom_site_type_symbol
_atom_site_fract_x
_atom_site_fract_y
_atom_site_fract_z
Y1 Y 0.000 0.000 0.500
Y2 Y 0.500 0.000 0.000
Y3 Y 0.000 0.500 0.000
Rb1 Rb 0.000 0.000 0.000
Ag1 Ag 0.500 0.500 0.500

[6]
# MgReAg2Mo (SCAN, PBEsol geometry)
# ΔE_f, meV/atom: 1983
data_MgReAg2Mo
_chemical_formula_sum 'Mg1 Re1 Ag2 Mo1'
_symmetry_space_group_name_H-M 'P 1'
_symmetry_Int_Tables_number 1
_cell_length_a 4.353
_cell_length_b 4.353
_cell_length_c 4.803
_cell_angle_alpha 90.00
_cell_angle_beta 90.00
_cell_angle_gamma 90.00
loop_
_symmetry_equiv_pos_as_xyz
'x,y,z'
loop_
_atom_site_label
_atom_site_type_symbol
_atom_site_fract_x
_atom_site_fract_y
_atom_site_fract_z
Mo1 Mo 0.000 0.000 0.500
Mg1 Mg 0.000 0.000 0.000
Re1 Re 0.500 0.500 0.500
Ag1 Ag 0.000 0.500 0.000
Ag2 Ag 0.500 0.000 0.000

| no. | V (Å³/cell) |
| --- | --- |
| 1 | 68.7 |
| 2 | 1379.0 |
| 3 | 64.1 |
| 4 | 56.5 |
| 5 | 147.8 |
| 6 | 91.0 |